No. 1
Below is a relaxed structure of LiFePt3, with properties calculated at the PBE level.

```
data_LiFePt3
_chemical_formula_sum 'Li1 Fe1 Pt3'
_symmetry_space_group_name_H-M 'P m -3 m'
_symmetry_Int_Tables_number 221
_symmetry_space_group_name_Hall '-P 4 2 3'
_cell_length_a 4.1799
_cell_length_b 4.1799
_cell_length_c 4.1799
_cell_angle_alpha 90.00
_cell_angle_beta 90.00
_cell_angle_gamma 90.00
loop_
_atom_site_label
_atom_site_fract_x
_atom_site_fract_y
_atom_site_fract_z
Li1 0.0000 0.0000 0.0000
Fe1 0.5000 0.5000 0.5000
Pt1 0.0000 0.0000 0.5000
```

Output
relative energy among the computed polymorphs	0.207	eV/atom



No. 2
Below is a relaxed structure of LiFe4Pt5, with properties calculated at the PBE level.

```
data_LiFe4Pt5
_chemical_formula_sum 'Li1 Fe4 Pt5'
_symmetry_space_group_name_H-M 'P 4/m m m'
_symmetry_Int_Tables_number 123
_symmetry_space_group_name_Hall '-P 4 2'
_cell_length_a 2.7616
_cell_length_b 2.7616
_cell_length_c 18.3085
_cell_angle_alpha 90.00
_cell_angle_beta 90.00
_cell_angle_gamma 90.00
loop_
_atom_site_label
_atom_site_fract_x
_atom_site_fract_y
_atom_site_fract_z
Li1 0.0000 0.0000 0.0000
Fe1 0.0000 0.0000 0.1969
Fe2 0.0000 0.0000 0.3991
Pt1 0.5000 0.5000 0.0995
Pt2 0.5000 0.5000 0.2981
Pt3 0.5000 0.5000 0.5000
```



No. 3
Below is a relaxed structure of LiFe2Pt, with properties calculated at the PBE level.

```
data_LiFe2Pt
_chemical_formula_sum 'Li2 Fe4 Pt2'
_symmetry_space_group_name_H-M 'C 1 2/m 1'
_symmetry_Int_Tables_number 12
_cell_length_a 9.6217
_cell_length_b 2.8673
_cell_length_c 4.0662
_cell_angle_alpha 90.00
_cell_angle_beta 114.75
_cell_angle_gamma 90.00
loop_
_symmetry_equiv_pos_as_xyz
'x,y,z'
'-x,-y,-z'
'-x,y,-z'
'x,-y,z'
'x+1/2,y+1/2,z'
'-x+1/2,-y+1/2,-z'
'-x+1/2,y+1/2,-z'
'x+1/2,-y+1/2,z'
loop_
_atom_site_label
_atom_site_fract_x
_atom_site_fract_y
_atom_site_fract_z
Li1 0.0000 0.0000 0.0000
Fe1 0.2483 0.0000 0.7484
Pt1 0.0000 0.5000 0.5000
```



| no. | calculated formation energy (meV/atom) |
| --- | --- |
| 1 | 771.5 |
| 2 | -295.9 |
| 3 | -110.6 |